# 1
DFT (GGA-PBEsol) results for crystalline Ca4BePt at its relaxed geometry.

Cell: 5.929 5.929 5.929 Å, 60.00 60.00 60.00°
Element x y z (fractional)
1 Ca 0.376 0.376 0.376
2 Ca 0.376 0.376 0.872
3 Ca 0.376 0.872 0.376
4 Ca 0.872 0.376 0.376
5 Be 0.000 0.000 0.000
6 Pt 0.750 0.750 0.750

Values from the calculation:
DOS(E_F)   3.603 states/eV/cell
E   -2.494 eV/atom
Energy relative to the elements   0.756 eV per atom



# 2
DFT (GGA-PBEsol) results for crystalline CaBe2Pt at its relaxed geometry.

Cell: 6.815 3.956 5.550 Å, 90.00 113.98 90.00°
Element x y z (fractional)
1 Ca 0.000 0.000 0.000
2 Ca 0.500 0.500 0.000
3 Be 0.177 0.000 0.534
4 Be 0.488 0.000 0.469
5 Be 0.677 0.500 0.534
6 Be 0.988 0.500 0.469
7 Pt 0.310 0.500 0.433
8 Pt 0.810 0.000 0.433

Values from the calculation:
DOS(E_F)   3.873 states/eV/cell
E   -4.771 eV/atom
Offset from the most stable computed form   31.7 meV/atom
Energy relative to the elements   -0.497 eV per atom



# 3
DFT (GGA-PBEsol) results for crystalline CaBe2Pt at its relaxed geometry.

Cell: 3.895 3.895 3.988 Å, 90.00 90.00 90.00°
Element x y z (fractional)
1 Ca 0.000 0.000 0.000
2 Be 0.000 0.500 0.500
3 Be 0.500 0.000 0.500
4 Pt 0.500 0.500 0.000

Values from the calculation:
DOS(E_F)   1.894 states/eV/cell
E   -4.136 eV/atom
Offset from the most stable computed form   666.6 meV/atom
Energy relative to the elements   0.138 eV per atom



# 4
DFT (GGA-PBEsol) results for crystalline CaBe2Pt at its relaxed geometry.

Cell: 2.908 3.156 6.526 Å, 90.00 90.00 90.00°
Element x y z (fractional)
1 Ca 0.000 0.000 0.000
2 Be 0.000 0.000 0.492
3 Be 0.500 0.500 0.671
4 Pt 0.500 0.500 0.326

Values from the calculation:
DOS(E_F)   1.698 states/eV/cell
E   -4.439 eV/atom
Offset from the most stable computed form   363.7 meV/atom
Energy relative to the elements   -0.165 eV per atom



# 5
DFT (GGA-PBEsol) results for crystalline CaBe2Pt at its relaxed geometry.

Cell: 3.920 3.920 14.804 Å, 90.00 90.00 120.00°
Element x y z (fractional)
1 Ca 0.000 0.000 0.000
2 Ca 0.333 0.667 0.667
3 Ca 0.667 0.333 0.333
4 Be 0.000 0.000 0.187
5 Be 0.000 0.000 0.813
6 Be 0.333 0.667 0.480
7 Be 0.333 0.667 0.854
8 Be 0.667 0.333 0.146
9 Be 0.667 0.333 0.520
10 Pt 0.000 0.000 0.500
11 Pt 0.333 0.667 0.167
12 Pt 0.667 0.333 0.833

Values from the calculation:
DOS(E_F)   6.270 states/eV/cell
E   -4.803 eV/atom
Offset from the most stable computed form   0.0 meV/atom
Energy relative to the elements   -0.528 eV per atom



# 6
DFT (GGA-PBEsol) results for crystalline CaBeRe at its relaxed geometry.

Cell: 6.355 6.355 6.355 Å, 90.00 90.00 90.00°
Element x y z (fractional)
1 Ca 0.000 0.000 0.000
2 Ca 0.000 0.500 0.500
3 Ca 0.500 0.000 0.500
4 Ca 0.500 0.500 0.000
5 Be 0.250 0.250 0.750
6 Be 0.250 0.750 0.250
7 Be 0.750 0.250 0.250
8 Be 0.750 0.750 0.750
9 Re 0.250 0.250 0.250
10 Re 0.250 0.750 0.750
11 Re 0.750 0.250 0.750
12 Re 0.750 0.750 0.250

Values from the calculation:
DOS(E_F)   6.276 states/eV/cell
E   -4.288 eV/atom
Energy relative to the elements   2.201 eV per atom



# 7
DFT (GGA-PBEsol) results for crystalline CaBe2Rh2 at its relaxed geometry.

Cell: 4.090 4.090 8.929 Å, 90.00 90.00 90.00°
Element x y z (fractional)
1 Ca 0.000 0.000 0.000
2 Ca 0.500 0.500 0.500
3 Be 0.000 0.000 0.345
4 Be 0.000 0.000 0.655
5 Be 0.500 0.500 0.155
6 Be 0.500 0.500 0.845
7 Rh 0.000 0.500 0.250
8 Rh 0.000 0.500 0.750
9 Rh 0.500 0.000 0.250
10 Rh 0.500 0.000 0.750

Values from the calculation:
DOS(E_F)   3.330 states/eV/cell
E   -5.694 eV/atom
Energy relative to the elements   -0.412 eV per atom



# 8
DFT (GGA-PBEsol) results for crystalline Ca2Be2Rh at its relaxed geometry.

Cell: 5.458 5.458 6.540 Å, 90.00 90.00 90.00°
Element x y z (fractional)
1 Ca 0.000 0.500 0.250
2 Ca 0.000 0.500 0.750
3 Ca 0.500 0.000 0.250
4 Ca 0.500 0.000 0.750
5 Be 0.000 0.000 0.160
6 Be 0.000 0.000 0.840
7 Be 0.500 0.500 0.340
8 Be 0.500 0.500 0.660
9 Rh 0.000 0.000 0.500
10 Rh 0.500 0.500 0.000

Values from the calculation:
DOS(E_F)   6.475 states/eV/cell
E   -3.819 eV/atom
Energy relative to the elements   0.262 eV per atom